A relaxed Ni2HgAu crystal. Source: the Alexandria database, functional PBE-GGA.

## Properties
VASP energy	-3.4975	eV/atom

Cell: 8.6762 8.6762 8.6762 Å, 19.23 19.23 19.23°
Element x y z (fractional)
Au  0.2500  0.2500  0.2500
Hg  0.7500  0.7500  0.7500
Ni  0.9990  0.9990  0.9990
Ni  0.5010  0.5010  0.5010